No. 1
Here is a relaxed LiSi2B crystal from Alexandria. Energies are from PBE.

Values from the calculation:
The final energy is -77.4 eV for the cell shown. The calculation puts the total magnetic moment at 0.0 μB per formula unit.

Cell lengths 5.936, 3.552, 10.405 Å; angles 90.00, 102.49, 90.00 degrees
Positions (direct):
Si 0.349 0.500 0.616
Si 0.637 0.500 0.885
Si 0.612 0.000 0.625
Si 0.173 0.000 0.873
Si 0.349 0.000 0.116
Si 0.612 0.500 0.125
Si 0.637 0.000 0.385
Si 0.173 0.500 0.373
Li 0.893 0.500 0.530
Li 0.893 0.000 0.030
Li 0.930 0.000 0.253
Li 0.930 0.500 0.753
B 0.296 0.000 0.310
B 0.792 0.000 0.827
B 0.792 0.500 0.327
B 0.296 0.500 0.810

***

No. 2
Here is a relaxed LiSi2B crystal from Alexandria. Energies are from PBE.

Values from the calculation:
The final energy is -78.0 eV for the cell shown. The calculation puts the total magnetic moment at 0.0 μB per formula unit.

Cell lengths 5.952, 3.582, 10.131 Å; angles 90.00, 102.46, 90.00 degrees
Positions (direct):
Si 0.380 0.000 0.608
Si 0.659 0.000 0.878
Si 0.380 0.500 0.108
Si 0.850 0.500 0.627
Si 0.407 0.500 0.870
Si 0.850 0.000 0.127
Si 0.659 0.500 0.378
Si 0.407 0.000 0.370
Li 0.982 0.000 0.478
Li 0.098 0.500 0.274
Li 0.098 0.000 0.774
Li 0.982 0.500 0.978
B 0.724 0.500 0.185
B 0.219 0.500 0.660
B 0.219 0.000 0.160
B 0.724 0.000 0.685

***

No. 3
Here is a relaxed LiSi2B crystal from Alexandria. Energies are from PBE.

Values from the calculation:
The final energy is -38.3 eV for the cell shown. The calculation puts the total magnetic moment at 0.0 μB per formula unit.

Cell lengths 6.814, 6.814, 5.297 Å; angles 49.97, 49.97, 90.00 degrees
Positions (direct):
Li 0.500 0.500 0.000
Li 0.250 0.750 0.500
Si 0.721 0.125 0.250
Si 0.875 0.971 0.750
Si 0.375 0.279 0.750
Si 0.029 0.625 0.250
B 0.000 0.000 0.000
B 0.750 0.250 0.500

***

No. 4
Here is a relaxed LiSi2B crystal from Alexandria. Energies are from PBE.

Values from the calculation:
The final energy is -39.0 eV for the cell shown. The calculation puts the total magnetic moment at 0.0 μB per formula unit.

Cell lengths 5.375, 3.578, 5.952 Å; angles 90.00, 113.52, 90.00 degrees
Positions (direct):
Si 0.048 0.000 0.319
Si 0.048 0.500 0.831
Si 0.548 0.500 0.772
Si 0.573 0.000 0.035
Li 0.374 0.500 0.281
Li 0.769 0.000 0.560
B 0.175 0.000 0.030
B 0.138 0.500 0.525

***

No. 5
Here is a relaxed LiSi2B crystal from Alexandria. Energies are from PBE.

Values from the calculation:
The final energy is -78.3 eV for the cell shown. The calculation puts the total magnetic moment at 0.0 μB per formula unit.

Cell lengths 3.565, 11.472, 5.224 Å; angles 90.00, 90.00, 90.00 degrees
Positions (direct):
B 0.750 0.198 0.436
B 0.750 0.698 0.936
B 0.250 0.302 0.936
B 0.250 0.802 0.436
Li 0.750 0.910 0.576
Li 0.750 0.410 0.076
Li 0.250 0.590 0.076
Li 0.250 0.090 0.576
Si 0.250 0.434 0.660
Si 0.750 0.214 0.833
Si 0.250 0.934 0.160
Si 0.750 0.566 0.660
Si 0.750 0.066 0.160
Si 0.250 0.786 0.833
Si 0.750 0.714 0.333
Si 0.250 0.286 0.333

***

No. 6
Here is a relaxed LiSmB4 crystal from Alexandria. Energies are from PBE.

Values from the calculation:
The energy relative to the lowest polymorph listed for this composition comes out at 986.9 meV per atom. The calculation puts the total magnetic moment at 0.0 μB per formula unit.

Cell lengths 4.453, 4.453, 4.453 Å; angles 60.00, 60.00, 60.00 degrees
Positions (direct):
Sm 0.250 0.250 0.250
B 0.125 0.625 0.625
B 0.625 0.125 0.625
B 0.625 0.625 0.625
B 0.625 0.625 0.125
Li 0.000 0.000 0.000

***

No. 7
Here is a relaxed LiSmB14 crystal from Alexandria. Energies are from PBE.

Values from the calculation:
The final energy is -208.8 eV for the cell shown. The calculation puts the total magnetic moment at 0.0 μB per formula unit.

Cell lengths 5.882, 7.310, 7.310 Å; angles 69.12, 66.28, 66.28 degrees
Positions (direct):
B 0.648 0.983 0.722
B 0.830 0.968 0.874
B 0.716 0.602 0.283
B 0.601 0.398 0.717
B 0.171 0.626 0.532
B 0.589 0.239 0.583
B 0.834 0.193 0.138
B 0.216 0.783 0.102
B 0.330 0.374 0.468
B 0.334 0.638 0.693
B 0.670 0.626 0.532
B 0.852 0.778 0.517
B 0.329 0.968 0.874
B 0.352 0.017 0.278
B 0.411 0.761 0.417
B 0.399 0.602 0.283
B 0.911 0.917 0.261
B 0.089 0.083 0.739
B 0.671 0.032 0.126
B 0.148 0.222 0.483
B 0.101 0.217 0.898
B 0.784 0.217 0.898
B 0.899 0.783 0.102
B 0.666 0.362 0.307
B 0.829 0.374 0.468
B 0.166 0.807 0.862
B 0.284 0.398 0.717
B 0.170 0.032 0.126
Sm 0.250 0.379 0.121
Sm 0.750 0.621 0.879
Li 0.000 0.000 0.500
Li 0.500 0.000 0.500

***

No. 8
Here is a relaxed LiSmB crystal from Alexandria. Energies are from PBE.

Values from the calculation:
The final energy is -27.4 eV for the cell shown. The calculation puts the total magnetic moment at 0.0 μB per formula unit.

Cell lengths 3.171, 3.764, 11.674 Å; angles 98.78, 90.00, 114.91 degrees
Positions (direct):
Sm 0.545 0.091 0.158
Sm 0.455 0.909 0.842
B 0.787 0.574 0.000
B 0.213 0.426 0.000
Li 0.333 0.666 0.406
Li 0.667 0.334 0.594

***

No. 9
Here is a relaxed LiSmB4 crystal from Alexandria. Energies are from PBE.

Values from the calculation:
The energy relative to the lowest polymorph listed for this composition comes out at 0.0 meV per atom. The calculation puts the total magnetic moment at 0.0 μB per formula unit.

Cell lengths 3.733, 6.001, 11.442 Å; angles 90.00, 90.00, 90.00 degrees
Positions (direct):
Li 0.000 0.871 0.585
Li 0.000 0.629 0.085
Li 0.000 0.371 0.915
Li 0.000 0.129 0.415
B 0.500 0.115 0.544
B 0.500 0.025 0.692
B 0.500 0.475 0.192
B 0.500 0.716 0.686
B 0.500 0.525 0.808
B 0.500 0.975 0.308
B 0.500 0.366 0.470
B 0.500 0.634 0.530
B 0.500 0.885 0.456
B 0.500 0.866 0.030
B 0.500 0.784 0.186
B 0.500 0.216 0.814
B 0.500 0.134 0.970
B 0.500 0.385 0.044
B 0.500 0.615 0.956
B 0.500 0.284 0.314
Sm 0.000 0.625 0.349
Sm 0.000 0.375 0.651
Sm 0.000 0.125 0.151
Sm 0.000 0.875 0.849

***

No. 10
Here is a relaxed LiSn2B crystal from Alexandria. Energies are from PBE.

Values from the calculation:
The energy relative to the lowest polymorph listed for this composition comes out at 420.1 meV per atom. The calculation puts the total magnetic moment at 0.0 μB per formula unit.

Cell lengths 4.742, 4.742, 4.742 Å; angles 60.00, 60.00, 60.00 degrees
Positions (direct):
Li 0.000 0.000 0.000
B 0.500 0.500 0.500
Sn 0.250 0.250 0.250
Sn 0.750 0.750 0.750

***

No. 11
Here is a relaxed LiSnB3 crystal from Alexandria. Energies are from PBE.

Values from the calculation:
The energy relative to the lowest polymorph listed for this composition comes out at 0.0 meV per atom. The calculation puts the total magnetic moment at 0.0 μB per formula unit.

Cell lengths 3.984, 3.984, 3.984 Å; angles 90.00, 90.00, 90.00 degrees
Positions (direct):
B 0.000 0.500 0.000
B 0.000 0.000 0.500
B 0.500 0.000 0.000
Li 0.000 0.000 0.000
Sn 0.500 0.500 0.500

***

No. 12
Here is a relaxed LiSn2B2 crystal from Alexandria. Energies are from PBE.

Values from the calculation:
The energy relative to the lowest polymorph listed for this composition comes out at 0.0 meV per atom. The calculation puts the total magnetic moment at 0.0 μB per formula unit.

Cell lengths 4.232, 4.232, 5.922 Å; angles 69.06, 69.06, 90.00 degrees
Positions (direct):
B 0.250 0.750 0.500
B 0.750 0.250 0.500
Sn 0.640 0.640 0.720
Sn 0.360 0.360 0.280
Li 0.000 0.000 0.000

***

No. 13
Here is a relaxed LiSn2B2 crystal from Alexandria. Energies are from PBE.

Values from the calculation:
The energy relative to the lowest polymorph listed for this composition comes out at 215.1 meV per atom. The calculation puts the total magnetic moment at 0.0 μB per formula unit.

Cell lengths 7.124, 7.124, 3.232 Å; angles 90.00, 90.00, 90.00 degrees
Positions (direct):
B 0.147 0.647 0.500
B 0.353 0.147 0.500
B 0.853 0.353 0.500
B 0.647 0.853 0.500
Sn 0.650 0.150 0.000
Sn 0.850 0.650 0.000
Sn 0.150 0.350 0.000
Sn 0.350 0.850 0.000
Li 0.000 0.000 0.000
Li 0.500 0.500 0.000

***

No. 14
Here is a relaxed Li3SnB crystal from Alexandria. Energies are from PBE.

Values from the calculation:
The energy relative to the lowest polymorph listed for this composition comes out at 0.0 meV per atom. The calculation puts the total magnetic moment at 0.0 μB per formula unit.

Cell lengths 4.308, 4.308, 4.308 Å; angles 90.00, 90.00, 90.00 degrees
Positions (direct):
Li 0.000 0.500 0.000
Li 0.000 0.000 0.500
Li 0.500 0.000 0.000
B 0.000 0.000 0.000
Sn 0.500 0.500 0.500

***

No. 15
Here is a relaxed LiSnB3 crystal from Alexandria. Energies are from PBE.

Values from the calculation:
The energy relative to the lowest polymorph listed for this composition comes out at 150.3 meV per atom. The calculation puts the total magnetic moment at 0.0 μB per formula unit.

Cell lengths 4.563, 4.563, 4.563 Å; angles 90.00, 90.00, 90.00 degrees
Positions (direct):
Sn 0.000 0.000 0.000
B 0.500 0.000 0.000
B 0.000 0.500 0.000
B 0.000 0.000 0.500
Li 0.500 0.500 0.500

***

No. 16
Here is a relaxed LiSn2B crystal from Alexandria. Energies are from PBE.

Values from the calculation:
The energy relative to the lowest polymorph listed for this composition comes out at 0.0 meV per atom. The calculation puts the total magnetic moment at 0.0 μB per formula unit.

Cell lengths 8.053, 8.053, 6.187 Å; angles 49.40, 49.40, 90.00 degrees
Positions (direct):
Sn 0.734 0.125 0.250
Sn 0.016 0.625 0.250
Sn 0.375 0.266 0.750
Sn 0.875 0.984 0.750
B 0.750 0.250 0.500
B 0.000 0.000 0.000
Li 0.250 0.750 0.500
Li 0.500 0.500 0.000

***

No. 17
Here is a relaxed Li3SnB crystal from Alexandria. Energies are from PBE.

Values from the calculation:
The energy relative to the lowest polymorph listed for this composition comes out at 678.2 meV per atom. The calculation puts the total magnetic moment at 0.0 μB per formula unit.

Cell lengths 5.084, 5.084, 5.084 Å; angles 90.00, 90.00, 90.00 degrees
Positions (direct):
Li 0.000 0.000 0.500
Li 0.500 0.000 0.000
Li 0.000 0.500 0.000
B 0.500 0.500 0.500
Sn 0.000 0.000 0.000

***

No. 18
Here is a relaxed LiSnB2 crystal from Alexandria. Energies are from PBE.

Values from the calculation:
The energy relative to the lowest polymorph listed for this composition comes out at 298.2 meV per atom. The calculation puts the total magnetic moment at 0.0 μB per formula unit.

Cell lengths 4.181, 4.181, 4.181 Å; angles 60.00, 60.00, 60.00 degrees
Positions (direct):
Sn 0.500 0.500 0.500
B 0.750 0.750 0.750
B 0.250 0.250 0.250
Li 0.000 0.000 0.000

***

No. 19
Here is a relaxed LiSnB2 crystal from Alexandria. Energies are from PBE.

Values from the calculation:
The energy relative to the lowest polymorph listed for this composition comes out at 0.0 meV per atom. The calculation puts the total magnetic moment at 0.0 μB per formula unit.

Cell lengths 3.476, 3.476, 10.157 Å; angles 80.15, 80.15, 90.00 degrees
Positions (direct):
Sn 0.750 0.250 0.500
Sn 0.000 0.000 0.000
B 0.875 0.625 0.250
B 0.875 0.125 0.750
B 0.375 0.125 0.750
B 0.875 0.125 0.250
Li 0.500 0.500 0.000
Li 0.250 0.750 0.500

***

No. 20
Here is a relaxed SrLiSnB2 crystal from Alexandria. Energies are from PBE.

Values from the calculation:
The final energy is -11.6 eV for the cell shown. The calculation puts the total magnetic moment at 0.2 μB per formula unit.

Cell lengths 4.928, 5.113, 4.928 Å; angles 90.00, 90.00, 90.00 degrees
Positions (direct):
Sn 0.500 0.500 0.500
B 0.000 0.000 0.500
B 0.500 0.000 0.000
Li 0.000 0.500 0.000
Sr 0.000 0.000 0.000

***

No. 21
Here is a relaxed LiSnBTe2 crystal from Alexandria. Energies are from PBE.

Values from the calculation:
The final energy is -15.4 eV for the cell shown. The calculation puts the total magnetic moment at 0.0 μB per formula unit.

Cell lengths 5.336, 4.179, 5.336 Å; angles 90.00, 90.00, 90.00 degrees
Positions (direct):
Te 0.000 0.000 0.500
Te 0.500 0.000 0.000
B 0.000 0.500 0.000
Sn 0.500 0.500 0.500
Li 0.000 0.000 0.000

***

No. 22
Here is a relaxed SrLi3B crystal from Alexandria. Energies are from PBE.

Values from the calculation:
The energy relative to the lowest polymorph listed for this composition comes out at 0.0 meV per atom. The calculation puts the total magnetic moment at 0.0 μB per formula unit.

Cell lengths 4.567, 4.567, 4.567 Å; angles 90.00, 90.00, 90.00 degrees
Positions (direct):
Sr 0.500 0.500 0.500
Li 0.500 0.000 0.000
Li 0.000 0.500 0.000
Li 0.000 0.000 0.500
B 0.000 0.000 0.000

***

No. 23
Here is a relaxed SrLiB3 crystal from Alexandria. Energies are from PBE.

Values from the calculation:
The energy relative to the lowest polymorph listed for this composition comes out at 1141.1 meV per atom. The calculation puts the total magnetic moment at 1.4 μB per formula unit.

Cell lengths 5.080, 5.080, 5.080 Å; angles 90.00, 90.00, 90.00 degrees
Positions (direct):
Sr 0.000 0.000 0.000
B 0.000 0.000 0.500
B 0.500 0.000 0.000
B 0.000 0.500 0.000
Li 0.500 0.500 0.500